Entry 1:
# PBE-GGA Tb4Pm3Pr, optimized geometry
data_Tb4Pm3Pr
_chemical_formula_sum 'Tb4 Pm3 Pr1'
_cell_length_a 3.6242
_cell_length_b 6.2585
_cell_length_c 11.9393
_cell_angle_alpha 100.27
_cell_angle_beta 90.00
_cell_angle_gamma 90.00
_space_group_name_H-M_alt 'P 1'
_space_group_IT_number 1
_space_group_name_Hall 'P 1'
loop_
_atom_site_label
_atom_site_fract_x
_atom_site_fract_y
_atom_site_fract_z
_atom_site_occupancy
Pr1 0.5000 0.0000 0.0000 1
Tb1 0.0000 0.7490 0.7490 1
Tb2 0.5000 0.2496 0.7492 1
Tb3 0.0000 0.2510 0.2510 1
Tb4 0.5000 0.7504 0.2507 1
Pm1 0.0000 0.0000 0.5000 1
Pm2 0.5000 0.5000 0.5000 1
Pm3 0.0000 0.5000 0.0000 1
# **Calculated formation energy**: 0.0147 eV/atom
# **Density**: 7550 kg/m³
# **Relative energy among the computed polymorphs**: 0.00 eV per formula unit

Entry 2:
# PBE-GGA Zr6Ni16Ge7, optimized geometry
data_Zr6Ni16Ge7
_chemical_formula_sum 'Zr6 Ni16 Ge7'
_cell_length_a 8.2585
_cell_length_b 8.2585
_cell_length_c 8.2585
_cell_angle_alpha 60.00
_cell_angle_beta 60.00
_cell_angle_gamma 60.00
_space_group_name_H-M_alt 'P 1'
_space_group_IT_number 1
_space_group_name_Hall 'P 1'
loop_
_atom_site_label
_atom_site_fract_x
_atom_site_fract_y
_atom_site_fract_z
_atom_site_occupancy
Zr1 0.2065 0.7935 0.7935 1
Zr2 0.2065 0.7935 0.2065 1
Zr3 0.7935 0.2065 0.2065 1
Zr4 0.7935 0.2065 0.7935 1
Zr5 0.7935 0.7935 0.2065 1
Zr6 0.2065 0.2065 0.7935 1
Ni1 0.3816 0.3816 0.3816 1
Ni2 0.5067 0.8311 0.8311 1
Ni3 0.6184 0.6184 0.1447 1
Ni4 0.1689 0.1689 0.4933 1
Ni5 0.8311 0.8311 0.5067 1
Ni6 0.1689 0.1689 0.1689 1
Ni7 0.8311 0.8311 0.8311 1
Ni8 0.3816 0.3816 0.8553 1
Ni9 0.8311 0.5067 0.8311 1
Ni10 0.6184 0.6184 0.6184 1
Ni11 0.3816 0.8553 0.3816 1
Ni12 0.1447 0.6184 0.6184 1
Ni13 0.6184 0.1447 0.6184 1
Ni14 0.1689 0.4933 0.1689 1
Ni15 0.8553 0.3816 0.3816 1
Ni16 0.4933 0.1689 0.1689 1
Ge1 0.0000 0.0000 0.5000 1
Ge2 0.5000 0.0000 0.5000 1
Ge3 0.5000 0.5000 0.5000 1
Ge4 0.0000 0.5000 0.0000 1
Ge5 0.5000 0.5000 0.0000 1
Ge6 0.5000 0.0000 0.0000 1
Ge7 0.0000 0.5000 0.5000 1
# **Calculated formation energy**: -0.5907 eV/atom
# **Density**: 8317 kg/m³

Entry 3:
# PBE-GGA NdPdRhPb, optimized geometry
data_NdPdRhPb
_chemical_formula_sum 'Nd1 Pd1 Rh1 Pb1'
_cell_length_a 4.9072
_cell_length_b 4.9072
_cell_length_c 4.9072
_cell_angle_alpha 60.00
_cell_angle_beta 60.00
_cell_angle_gamma 60.00
_space_group_name_H-M_alt 'P 1'
_space_group_IT_number 1
_space_group_name_Hall 'P 1'
loop_
_atom_site_label
_atom_site_fract_x
_atom_site_fract_y
_atom_site_fract_z
_atom_site_occupancy
Pb1 0.7500 0.7500 0.7500 1
Rh1 0.5000 0.5000 0.5000 1
Nd1 0.2500 0.2500 0.2500 1
Pd1 0.0000 0.0000 0.0000 1
# **Calculated formation energy**: -0.5161 eV/atom
# **Density**: 11144 kg/m³

Entry 4:
# PBE-GGA BaAl3Ga3, optimized geometry
data_BaAl3Ga3
_chemical_formula_sum 'Ba2 Al6 Ga6'
_cell_length_a 7.1665
_cell_length_b 7.1665
_cell_length_c 7.1665
_cell_angle_alpha 90.00
_cell_angle_beta 90.00
_cell_angle_gamma 90.00
_space_group_name_H-M_alt 'P 1'
_space_group_IT_number 1
_space_group_name_Hall 'P 1'
loop_
_atom_site_label
_atom_site_fract_x
_atom_site_fract_y
_atom_site_fract_z
_atom_site_occupancy
Ba1 0.5000 0.5000 0.5000 1
Ba2 0.0000 0.0000 0.0000 1
Ga1 0.0000 0.2500 0.5000 1
Ga2 0.0000 0.7500 0.5000 1
Ga3 0.5000 0.0000 0.7500 1
Ga4 0.7500 0.5000 0.0000 1
Ga5 0.5000 0.0000 0.2500 1
Ga6 0.2500 0.5000 0.0000 1
Al1 0.2500 0.0000 0.5000 1
Al2 0.0000 0.5000 0.2500 1
Al3 0.5000 0.7500 0.0000 1
Al4 0.7500 0.0000 0.5000 1
Al5 0.0000 0.5000 0.7500 1
Al6 0.5000 0.2500 0.0000 1
# **Calculated formation energy**: -0.0381 eV/atom
# **Density**: 3857 kg/m³
# **Relative energy among the computed polymorphs**: 1.08 eV per formula unit

Entry 5:
# PBE-GGA Pr12Dy2Y5, optimized geometry
data_Pr12Dy2Y5
_chemical_formula_sum 'Pr12 Dy2 Y5'
_cell_length_a 7.6182
_cell_length_b 10.4608
_cell_length_c 10.1037
_cell_angle_alpha 64.63
_cell_angle_beta 90.00
_cell_angle_gamma 111.35
_space_group_name_H-M_alt 'P 1'
_space_group_IT_number 1
_space_group_name_Hall 'P 1'
loop_
_atom_site_label
_atom_site_fract_x
_atom_site_fract_y
_atom_site_fract_z
_atom_site_occupancy
Pr1 0.9980 0.9960 0.2072 1
Pr2 0.0882 0.6784 0.8471 1
Pr3 0.5902 0.6784 0.8471 1
Pr4 0.0731 0.6705 0.4956 1
Pr5 0.5974 0.6705 0.4956 1
Pr6 0.5089 0.0177 0.6685 1
Pr7 0.4911 0.9823 0.3315 1
Pr8 0.9269 0.3295 0.5044 1
Pr9 0.4026 0.3295 0.5044 1
Pr10 0.9118 0.3216 0.1529 1
Pr11 0.4098 0.3216 0.1529 1
Pr12 0.0020 0.0040 0.7928 1
Dy1 0.6999 0.0000 0.0000 1
Dy2 0.3001 0.0000 0.0000 1
Y1 0.1748 0.3495 0.8284 1
Y2 0.3209 0.6418 0.1928 1
Y3 0.0000 0.0000 0.5000 1
Y4 0.6791 0.3582 0.8072 1
Y5 0.8252 0.6505 0.1716 1
# **Calculated formation energy**: 0.1569 eV/atom
# **Density**: 6136 kg/m³
# **Relative energy among the computed polymorphs**: 0.51 eV per formula unit

Entry 6:
# PBE-GGA Er2TcSn, optimized geometry
data_Er2TcSn
_chemical_formula_sum 'Er2 Tc1 Sn1'
_cell_length_a 3.6028
_cell_length_b 3.6028
_cell_length_c 6.9851
_cell_angle_alpha 90.00
_cell_angle_beta 90.00
_cell_angle_gamma 90.00
_space_group_name_H-M_alt 'P 1'
_space_group_IT_number 1
_space_group_name_Hall 'P 1'
loop_
_atom_site_label
_atom_site_fract_x
_atom_site_fract_y
_atom_site_fract_z
_atom_site_occupancy
Tc1 0.5000 0.5000 0.0000 1
Sn1 0.5000 0.5000 0.5000 1
Er1 0.0000 0.0000 0.7774 1
Er2 0.0000 0.0000 0.2226 1
# **Calculated formation energy**: -0.3535 eV/atom
# **Density**: 10095 kg/m³
# **Relative energy among the computed polymorphs**: 0.00 eV per formula unit

Entry 7:
# PBE-GGA ZnFeIr2Se, optimized geometry
data_ZnFeIr2Se
_chemical_formula_sum 'Zn1 Fe1 Ir2 Se1'
_cell_length_a 4.5980
_cell_length_b 4.4079
_cell_length_c 4.5980
_cell_angle_alpha 90.00
_cell_angle_beta 90.00
_cell_angle_gamma 90.00
_space_group_name_H-M_alt 'P 1'
_space_group_IT_number 1
_space_group_name_Hall 'P 1'
loop_
_atom_site_label
_atom_site_fract_x
_atom_site_fract_y
_atom_site_fract_z
_atom_site_occupancy
Zn1 0.0000 0.0000 0.0000 1
Ir1 0.0000 0.0000 0.5000 1
Ir2 0.5000 0.0000 0.0000 1
Fe1 0.0000 0.5000 0.0000 1
Se1 0.5000 0.5000 0.5000 1
# **Density**: 10417 kg/m³
# **Formation energy from raw total energies**: 1374.7 meV per atom

Entry 8:
# PBE-GGA MgCd2P, optimized geometry
data_MgCd2P
_chemical_formula_sum 'Mg1 Cd2 P1'
_cell_length_a 3.3201
_cell_length_b 3.3201
_cell_length_c 7.5685
_cell_angle_alpha 90.00
_cell_angle_beta 90.00
_cell_angle_gamma 90.03
_space_group_name_H-M_alt 'P 1'
_space_group_IT_number 1
_space_group_name_Hall 'P 1'
loop_
_atom_site_label
_atom_site_fract_x
_atom_site_fract_y
_atom_site_fract_z
_atom_site_occupancy
Cd1 0.0000 0.0000 0.9767 1
Cd2 0.5000 0.5000 0.2549 1
Mg1 0.0000 0.0000 0.5456 1
P1 0.5000 0.5000 0.7227 1
# **Calculated formation energy**: 0.0479 eV/atom
# **Density**: 5575 kg/m³